## Ce8Rh3Pb2 (PBE-GGA)

Data for a geometry-optimized Ce8Rh3Pb2 structure.

DFT total energy = -6.211 eV per atom
Formation energy from the elements = -0.292 eV/atom
Space group = No. 12
Total magnetization = 3.6 μB per cell
Density of states at the Fermi level = 34.1 states/eV per cell

abc: 5.7037 7.5979 9.0071
angles: 114.95 98.78 90.00
With the nearest neighbours (Å) after each atom.
Fractional positions:
1 Ce 0.4592 0.7689 0.1721  2 Rh 2.76-2.82, 3 Ce 2.78-3.06
2 Ce 0.5408 0.5968 0.8279  2 Rh 2.76-2.82, 3 Ce 2.78-3.06
3 Ce 0.5408 0.2311 0.8279  2 Rh 2.76-2.82, 3 Ce 2.78-3.06
4 Ce 0.9560 0.1014 0.2028  3 Rh 2.84-2.86
5 Ce 0.0440 0.8986 0.7972  3 Rh 2.84-2.86
6 Ce 0.0685 0.3490 0.6981  2 Rh 2.97, 2 Ce 3.06
7 Ce 0.4592 0.4032 0.1721  2 Rh 2.76-2.82, 3 Ce 2.78-3.06
8 Ce 0.9315 0.6510 0.3019  2 Rh 2.97, 2 Ce 3.06
9 Rh 0.0000 0.3009 0.0000  6 Ce 2.76-2.97, 1 Rh 3.03
10 Rh 0.0000 0.6991 0.0000  6 Ce 2.76-2.97, 1 Rh 3.03
11 Rh 0.5000 0.0000 0.0000  6 Ce 2.82-2.84
12 Pb 0.5245 0.2294 0.4587  8 Ce 3.31-3.55
13 Pb 0.4755 0.7706 0.5413  8 Ce 3.31-3.55



## In2CoPt (PBE-GGA)

Data for a geometry-optimized In2CoPt structure.

DFT total energy = -4.778 eV per atom
Formation energy from the elements = -0.122 eV/atom
Space group = No. 123
Total magnetization = 0.9 μB per cell
ΔE to the lowest computed polymorph = 0.0000 eV per atom
Density of states at the Fermi level = 1.4 states/eV per cell

abc: 3.2669 3.2585 7.1091
angles: 62.73 90.00 90.00
With the nearest neighbours (Å) after each atom.
Fractional positions:
1 In 0.0000 0.4863 0.5137  4 Co 2.75, 4 Pt 2.85, 1 In 2.99
2 In 0.0000 0.0137 0.9863  4 Co 2.75, 4 Pt 2.85, 1 In 2.99
3 Co 0.5000 0.7500 0.7500  8 In 2.75
4 Pt 0.5000 0.2500 0.2500  8 In 2.85, 2 Co 3.16



## YTm2Bi4 (PBE-GGA)

Data for a geometry-optimized YTm2Bi4 structure.

DFT total energy = -4.977 eV per atom
Formation energy from the elements = -0.558 eV/atom
Space group = No. 63
Total magnetization = 0.0 μB per cell
Density of states at the Fermi level = 6.2 states/eV per cell

abc: 4.4840 6.0819 16.9379
angles: 90.00 90.00 111.63
With the nearest neighbours (Å) after each atom.
Fractional positions:
1 Bi 0.5000 0.0000 0.0000  4 Tm 3.14, 4 Bi 3.49
2 Bi 0.5000 0.0000 0.5000  4 Tm 3.14, 4 Bi 3.49
3 Bi 0.8488 0.6976 0.3789  3 Tm 3.20-3.31, 2 Y 3.30, 2 Bi 3.49
4 Bi 0.8488 0.6976 0.1211  3 Tm 3.20-3.31, 2 Y 3.30, 2 Bi 3.49
5 Bi 0.1486 0.2972 0.2500  2 Tm 2.98, 3 Y 3.25-3.30
6 Bi 0.1512 0.3024 0.8789  3 Tm 3.20-3.31, 2 Y 3.30, 2 Bi 3.49
7 Bi 0.8514 0.7028 0.7500  2 Tm 2.98, 3 Y 3.25-3.30
8 Bi 0.1512 0.3024 0.6211  3 Tm 3.20-3.31, 2 Y 3.30, 2 Bi 3.49
9 Y 0.5593 0.1187 0.7500  7 Bi 3.25-3.30
10 Y 0.4407 0.8813 0.2500  7 Bi 3.25-3.30
11 Tm 0.8404 0.6809 0.9260  6 Bi 2.98-3.31
12 Tm 0.1596 0.3191 0.4260  6 Bi 2.98-3.31
13 Tm 0.1596 0.3191 0.0740  6 Bi 2.98-3.31
14 Tm 0.8404 0.6809 0.5740  6 Bi 2.98-3.31



## ScGeSe (PBE-GGA)

Data for a geometry-optimized ScGeSe structure.

Raw formation energy = -943 meV per atom
DFT total energy = -5.754 eV per atom
Space group = No. 166
Total magnetization = 0.0 μB per cell
Density of states at the Fermi level = 1.2 states/eV per cell

abc: 3.9398 3.9398 11.4097
angles: 80.06 80.06 60.00
With the nearest neighbours (Å) after each atom.
Fractional positions:
1 Sc 0.5725 0.5725 0.2824  3 Se 2.62
2 Sc 0.4275 0.4275 0.7176  3 Se 2.62
3 Se 0.7219 0.7219 0.8344  3 Sc 2.62
4 Se 0.2781 0.2781 0.1656  3 Sc 2.62
5 Ge 0.8489 0.8489 0.4532  3 Ge 2.50
6 Ge 0.1511 0.1511 0.5468  3 Ge 2.50



## KAlF2 (PBE-GGA)

Data for a geometry-optimized KAlF2 structure.

Raw formation energy = -1735 meV per atom
DFT total energy = -3.881 eV per atom
Space group = No. 225
Total magnetization = 0.0 μB per cell
ΔE to the lowest computed polymorph = 0.4892 eV per atom
Density of states at the Fermi level = 0.0 states/eV per cell

abc: 4.6065 4.6065 4.6065
angles: 60.00 60.00 60.00
With the nearest neighbours (Å) after each atom.
Fractional positions:
1 F 0.2500 0.2500 0.2500  4 K 2.82, 4 Al 2.82
2 F 0.7500 0.7500 0.7500  4 K 2.82, 4 Al 2.82
3 Al 0.0000 0.0000 0.0000  8 F 2.82
4 K 0.5000 0.5000 0.5000  8 F 2.82



## Hf3InH3 (PBE-GGA)

Data for a geometry-optimized Hf3InH3 structure.

DFT total energy = -6.282 eV per atom
Space group = No. 148
Total magnetization = 0.0 μB per cell
ΔE to the lowest computed polymorph = 0.1614 eV per atom
Density of states at the Fermi level = 8.8 states/eV per cell

abc: 5.5415 5.5415 8.3788
angles: 70.69 70.69 60.00
With the nearest neighbours (Å) after each atom.
Fractional positions:
1 H 0.1941 0.8561 0.4250  4 Hf 2.04-2.05, 3 H 2.17-2.20
2 H 0.1439 0.4752 0.5750  4 Hf 2.04-2.05, 3 H 2.17-2.20
3 H 0.8059 0.1439 0.5750  4 Hf 2.04-2.05, 3 H 2.17-2.20
4 H 0.5248 0.1941 0.4250  4 Hf 2.04-2.05, 3 H 2.17-2.20
5 H 0.4752 0.8059 0.5750  4 Hf 2.04-2.05, 3 H 2.17-2.20
6 H 0.8561 0.5248 0.4250  4 Hf 2.04-2.05, 3 H 2.17-2.20
7 Hf 0.1012 0.7743 0.6889  4 H 2.04-2.05
8 Hf 0.2257 0.5644 0.3111  4 H 2.04-2.05
9 Hf 0.8988 0.2257 0.3111  4 H 2.04-2.05
10 Hf 0.7743 0.4356 0.6889  4 H 2.04-2.05
11 Hf 0.5644 0.8988 0.3111  4 H 2.04-2.05
12 Hf 0.4356 0.1012 0.6889  4 H 2.04-2.05
13 In 0.6662 0.6662 0.0015  6 Hf 3.04, 3 In 3.20
14 In 0.3338 0.3338 0.9985  6 Hf 3.04, 3 In 3.20



## MnNi2As4 (PBE-GGA)

Data for a geometry-optimized MnNi2As4 structure.

DFT total energy = -5.327 eV per atom
Formation energy from the elements = 0.292 eV/atom
Space group = No. 139
Total magnetization = 2.0 μB per cell
Density of states at the Fermi level = 4.8 states/eV per cell

abc: 4.6752 4.6752 6.6553
angles: 69.44 69.44 90.00
With the nearest neighbours (Å) after each atom.
Fractional positions:
1 As 0.7934 0.7934 0.4133  1 Ni 2.20, 1 Mn 2.39
2 As 0.2066 0.2066 0.5867  1 Ni 2.20, 1 Mn 2.39
3 As 0.0000 0.5000 0.0000  2 Mn 2.34
4 As 0.5000 0.0000 0.0000  2 Mn 2.34
5 Mn 0.0000 0.0000 0.0000  6 As 2.34-2.39
6 Ni 0.6026 0.6026 0.7948  1 As 2.20, 1 Ni 2.37
7 Ni 0.3974 0.3974 0.2052  1 As 2.20, 1 Ni 2.37



## Ho6CdPt (PBE-GGA)

Data for a geometry-optimized Ho6CdPt structure.

DFT total energy = -4.445 eV per atom
Formation energy from the elements = -0.142 eV/atom
Space group = No. 2
Total magnetization = 0.0 μB per cell
Density of states at the Fermi level = 11.4 states/eV per cell

abc: 6.9770 7.0073 7.2561
angles: 61.38 61.56 59.93
With the nearest neighbours (Å) after each atom.
Fractional positions:
1 Pt 0.0000 0.0000 0.0000  6 Ho 2.73-2.74
2 Ho 0.4285 0.7780 0.7533  1 Pt 2.73, 1 Cd 3.00
3 Ho 0.9589 0.5724 0.2457  1 Pt 2.74, 1 Cd 3.00
4 Ho 0.0411 0.4276 0.7543  1 Pt 2.74, 1 Cd 3.00
5 Ho 0.7762 0.0381 0.7537  1 Pt 2.74, 1 Cd 3.00
6 Ho 0.5715 0.2220 0.2467  1 Pt 2.73, 1 Cd 3.00
7 Ho 0.2238 0.9619 0.2463  1 Pt 2.74, 1 Cd 3.00
8 Cd 0.5000 0.5000 0.5000  6 Ho 3.00



## LaGa2Ag5 (PBE-GGA)

Data for a geometry-optimized LaGa2Ag5 structure.

DFT total energy = -3.353 eV per atom
Formation energy from the elements = -0.199 eV/atom
Space group = No. 71
Total magnetization = 0.0 μB per cell
Density of states at the Fermi level = 3.2 states/eV per cell

abc: 4.2191 6.7023 6.7023
angles: 70.03 71.65 71.65
With the nearest neighbours (Å) after each atom.
Fractional positions:
1 Ag 0.3548 0.4590 0.8313  3 Ga 2.60-2.81, 1 Ag 2.86
2 Ag 0.0000 0.5000 0.5000  2 Ga 2.64, 8 Ag 2.94
3 Ag 0.6452 0.1687 0.5410  3 Ga 2.60-2.81, 1 Ag 2.86
4 Ag 0.3548 0.8313 0.4590  3 Ga 2.60-2.81, 1 Ag 2.86
5 Ag 0.6452 0.5410 0.1687  3 Ga 2.60-2.81, 1 Ag 2.86
6 La 0.0000 0.0000 0.0000  4 Ga 3.21, 8 Ag 3.53
7 Ga 0.7393 0.7607 0.7607  7 Ag 2.60-2.81
8 Ga 0.2607 0.2393 0.2393  7 Ag 2.60-2.81



## Cd3TePt (PBE-GGA)

Data for a geometry-optimized Cd3TePt structure.

Raw formation energy = 28 meV per atom
DFT total energy = -2.357 eV per atom
Space group = No. 221
Total magnetization = 0.0 μB per cell
ΔE to the lowest computed polymorph = 0.0000 eV per atom
Density of states at the Fermi level = 2.9 states/eV per cell

abc: 5.2215 5.2215 5.2215
angles: 90.00 90.00 90.00
With the nearest neighbours (Å) after each atom.
Fractional positions:
1 Cd 0.0000 0.0000 0.5000  2 Pt 2.61
2 Cd 0.0000 0.5000 0.0000  2 Pt 2.61
3 Cd 0.5000 0.0000 0.0000  2 Pt 2.61
4 Pt 0.0000 0.0000 0.0000  6 Cd 2.61
5 Te 0.5000 0.5000 0.5000  12 Cd 3.69



## CaInBr (PBE-GGA)

Data for a geometry-optimized CaInBr structure.

Raw formation energy = -801 meV per atom
DFT total energy = -2.938 eV per atom
Space group = No. 156
Total magnetization = 0.0 μB per cell
ΔE to the lowest computed polymorph = 0.2784 eV per atom
Density of states at the Fermi level = 1.3 states/eV per cell

abc: 3.8301 3.8301 8.3544
angles: 90.00 90.00 120.00
With the nearest neighbours (Å) after each atom.
Fractional positions:
1 Br 0.0000 0.0000 0.0872  3 Ca 2.86
2 Ca 0.3333 0.6667 0.3035  3 Br 2.86
3 In 0.6667 0.3333 0.6093  3 Ca 3.38



## Ac2Zn4InPd3 (PBE-GGA)

Data for a geometry-optimized Ac2Zn4InPd3 structure.

DFT total energy = -3.729 eV per atom
Formation energy from the elements = -0.566 eV/atom
Space group = No. 115
Total magnetization = 0.0 μB per cell
Density of states at the Fermi level = 6.7 states/eV per cell

abc: 4.3076 4.3076 11.5839
angles: 90.00 90.00 90.00
With the nearest neighbours (Å) after each atom.
Fractional positions:
1 Pd 0.5000 0.0000 0.8683  5 Zn 2.61-2.64
2 Pd 0.0000 0.0000 0.5000  4 Zn 2.72
3 Pd 0.0000 0.5000 0.1317  5 Zn 2.61-2.64
4 Ac 0.5000 0.0000 0.2361  4 Pd 3.28, 8 Zn 3.35-3.48
5 Ac 0.0000 0.5000 0.7639  4 Pd 3.28, 8 Zn 3.35-3.48
6 In 0.5000 0.5000 0.5000  4 Zn 2.72
7 Zn 0.0000 0.0000 0.0000  4 Pd 2.64
8 Zn 0.0000 0.5000 0.3569  3 Pd 2.61-2.72, 2 In 2.72
9 Zn 0.5000 0.5000 0.0000  4 Pd 2.64
10 Zn 0.5000 0.0000 0.6431  3 Pd 2.61-2.72, 2 In 2.72